[1]
## Rb4InAu3 (GGA-PBE)

Data for crystalline Rb4InAu3 at its relaxed geometry.

ρ = 5.421 g/cm3
M_tot = 0.000 μB/f.u.
crystal system = orthorhombic
electronic total energy = -2.29 eV/atom
DOS(E_F) = 0.433 states/eV/atom

Cell lengths 4.8515, 5.0860, 13.0054 Å; angles 90.00, 90.00, 90.00 degrees
Space group Pmm2 (No. 25)
Unique sites:
1 Rb 0.0000 0.0000 0.0000 x1
2 Rb 0.0000 0.5000 0.4656 x1
3 Rb 0.5000 0.0000 0.6785 x1
4 Rb 0.5000 0.5000 0.2038 x1
5 In 0.0000 0.5000 0.7876 x1
6 Au 0.0000 0.0000 0.2716 x1
7 Au 0.5000 0.0000 0.3999 x1
8 Au 0.5000 0.5000 0.8922 x1



[2]
## RbIn2Au2 (GGA-PBE)

Data for crystalline RbIn2Au2 at its relaxed geometry.

ρ = 9.166 g/cm3
energy relative to the lowest polymorph listed for this composition = 135 meV per atom
M_tot = 0.000 μB/f.u.
crystal system = tetragonal
electronic total energy = -2.74 eV/atom
DOS(E_F) = 0.398 states/eV/atom

Cell lengths 8.8097, 8.8097, 3.3100 Å; angles 90.00, 90.00, 90.00 degrees
Space group P4/mbm (No. 127)
Unique sites:
1 Rb 0.0000 0.0000 0.0000 x2
2 In 0.1262 0.3738 0.0000 x4
3 Au 0.1701 0.6701 0.5000 x4



[3]
## RbInAu2 (GGA-PBE)

Data for crystalline RbInAu2 at its relaxed geometry.

ρ = 6.830 g/cm3
M_tot = 0.000 μB/f.u.
crystal system = tetragonal
electronic total energy = -2.75 eV/atom
DOS(E_F) = 0.483 states/eV/atom

Cell lengths 5.5447, 5.5447, 18.7962 Å; angles 90.00, 90.00, 90.00 degrees
Space group I4_1/amd (No. 141, origin choice 2)
Unique sites:
1 Rb 0.0000 0.2500 0.3750 x4
2 In 0.0000 0.2500 0.8750 x4
3 Au 0.0000 0.0000 0.0000 x8



[4]
## RbIn4Au4 (GGA-PBE)

Data for crystalline RbIn4Au4 at its relaxed geometry.

ρ = 8.830 g/cm3
energy relative to the lowest polymorph listed for this composition = 0 meV per atom
M_tot = 0.000 μB/f.u.
crystal system = tetragonal
electronic total energy = -3.06 eV/atom
DOS(E_F) = 0.288 states/eV/atom

Cell lengths 9.5200, 9.5200, 5.5302 Å; angles 90.00, 90.00, 90.00 degrees
Space group P4_2/n (No. 86, origin choice 2)
Unique sites:
1 Rb 0.2500 0.2500 0.2500 x2
2 In 0.1218 0.8729 0.1650 x8
3 Au 0.0732 0.5808 0.1727 x8



[5]
## RbInAu (GGA-PBE)

Data for crystalline RbInAu at its relaxed geometry.

ρ = 6.310 g/cm3
M_tot = 0.000 μB/f.u.
crystal system = monoclinic
electronic total energy = -2.57 eV/atom
DOS(E_F) = 0.328 states/eV/atom

Cell lengths 11.9248, 7.1425, 5.5251 Å; angles 90.00, 117.30, 90.00 degrees
Space group Cm (No. 8)
Unique sites:
1 Rb 0.0000 0.0000 0.0000 x2
2 Rb 0.2299 0.5000 0.2297 x2
3 In 0.2643 0.0000 0.7621 x2
4 In 0.3764 0.0000 0.3706 x2
5 Au 0.0997 0.2962 0.6001 x4



[6]
## RbInAu2 (GGA-PBE)

Data for crystalline RbInAu2 at its relaxed geometry.

ρ = 9.033 g/cm3
M_tot = 0.000 μB/f.u.
crystal system = orthorhombic
electronic total energy = -2.77 eV/atom
DOS(E_F) = 0.216 states/eV/atom

Cell lengths 5.1021, 11.7898, 7.2638 Å; angles 90.00, 90.00, 90.00 degrees
Space group Cmcm (No. 63)
Unique sites:
1 Rb 0.0000 0.0698 0.2500 x4
2 In 0.0000 0.2287 0.7500 x4
3 Au 0.0000 0.3778 0.0592 x8



[7]
## RbIn6Au12 (GGA-PBE)

Data for crystalline RbIn6Au12 at its relaxed geometry.

ρ = 12.113 g/cm3
energy relative to the lowest polymorph listed for this composition = 11 meV per atom
M_tot = 0.000 μB/f.u.
crystal system = trigonal
electronic total energy = -3.12 eV/atom
DOS(E_F) = 0.271 states/eV/atom

Cell lengths 12.3034, 12.3034, 9.8441 Å; angles 90.00, 90.00, 120.00 degrees
Space group R-3m (No. 166, hexagonal axes)
Unique sites:
1 Rb 0.0000 0.0000 0.0000 x3
2 In 0.0605 0.5302 0.2457 x18
3 Au 0.0000 0.3877 0.5000 x18
4 Au 0.0851 0.1702 0.2893 x18



[8]
## Rb8InAu2 (GGA-PBE)

Data for crystalline Rb8InAu2 at its relaxed geometry.

ρ = 2.849 g/cm3
M_tot = 0.000 μB/f.u.
crystal system = monoclinic
electronic total energy = -1.66 eV/atom
DOS(E_F) = 0.573 states/eV/atom

Cell lengths 14.6255, 10.6486, 8.9246 Å; angles 90.00, 90.38, 90.00 degrees
Space group C2/m (No. 12)
Unique sites:
1 Rb 0.1230 0.0000 0.1296 x4
2 Rb 0.1350 0.5000 0.2002 x4
3 Rb 0.1370 0.2811 0.6651 x8
4 In 0.0000 0.0000 0.5000 x2
5 Au 0.1948 0.0000 0.4989 x4



[9]
## Rb2In6Au3 (GGA-PBE)

Data for crystalline Rb2In6Au3 at its relaxed geometry.

ρ = 7.545 g/cm3
M_tot = 0.000 μB/f.u.
crystal system = hexagonal
electronic total energy = -2.77 eV/atom
DOS(E_F) = 0.193 states/eV/atom

Cell lengths 8.6990, 8.6990, 4.8720 Å; angles 90.00, 90.00, 120.00 degrees
Space group P-62m (No. 189)
Unique sites:
1 Rb 0.3333 0.6667 0.0000 x2
2 In 0.0000 0.2007 0.0000 x3
3 In 0.0000 0.6927 0.5000 x3
4 Au 0.0000 0.3658 0.5000 x3



[10]
## RbIn4Au3 (GGA-PBE)

Data for crystalline RbIn4Au3 at its relaxed geometry.

ρ = 8.771 g/cm3
M_tot = 0.000 μB/f.u.
crystal system = tetragonal
electronic total energy = -2.97 eV/atom
DOS(E_F) = 0.374 states/eV/atom

Cell lengths 4.8667, 4.8667, 9.0779 Å; angles 90.00, 90.00, 90.00 degrees
Space group P4/mmm (No. 123)
Unique sites:
1 Rb 0.0000 0.0000 0.0000 x1
2 In 0.0000 0.5000 0.3227 x4
3 Au 0.0000 0.0000 0.5000 x1
4 Au 0.5000 0.5000 0.1573 x2



[11]
## Rb2In6Au (GGA-PBE)

Data for crystalline Rb2In6Au at its relaxed geometry.

ρ = 6.313 g/cm3
M_tot = 0.000 μB/f.u.
crystal system = monoclinic
electronic total energy = -2.51 eV/atom
DOS(E_F) = 0.517 states/eV/atom

Cell lengths 12.1655, 6.2518, 7.3109 Å; angles 90.00, 91.10, 90.00 degrees
Space group C2/m (No. 12)
Unique sites:
1 Rb 0.1823 0.0000 0.3958 x4
2 In 0.0616 0.2471 0.8179 x8
3 In 0.1984 0.5000 0.1105 x4
4 Au 0.0000 0.5000 0.5000 x2



[12]
## Rb12InAu6 (GGA-PBE)

Data for crystalline Rb12InAu6 at its relaxed geometry.

ρ = 4.130 g/cm3
M_tot = 0.001 μB/f.u.
crystal system = cubic
electronic total energy = -1.98 eV/atom
DOS(E_F) = 0.286 states/eV/atom

Cell lengths 12.3141, 12.3141, 12.3141 Å; angles 90.00, 90.00, 90.00 degrees
Space group Im-3 (No. 204)
Unique sites:
1 Rb 0.0000 0.1775 0.3069 x24
2 In 0.0000 0.0000 0.0000 x2
3 Au 0.0000 0.3825 0.5000 x12



Question: Number 1 is which compound?
Answer: Rb4InAu3



What did the eleventh record say?
## Rb2In6Au (GGA-PBE)

Data for crystalline Rb2In6Au at its relaxed geometry.

ρ = 6.313 g/cm3
M_tot = 0.000 μB/f.u.
crystal system = monoclinic
electronic total energy = -2.51 eV/atom
DOS(E_F) = 0.517 states/eV/atom

Cell lengths 12.1655, 6.2518, 7.3109 Å; angles 90.00, 91.10, 90.00 degrees
Space group C2/m (No. 12)
Unique sites:
1 Rb 0.1823 0.0000 0.3958 x4
2 In 0.0616 0.2471 0.8179 x8
3 In 0.1984 0.5000 0.1105 x4
4 Au 0.0000 0.5000 0.5000 x2



Question: M_tot of number 1 (Rb4InAu3)?
Answer: 0.000 μB/f.u.